# 1
An optimized crystal structure of ZnSi2, computed with PBE-GGA.

## Properties
Energy relative to the elements, uncorrected   319 meV per atom
Total energy   -11.164 eV for the cell shown
Crystal system   tetragonal
N(E_F)   1.235 states/eV per cell

a = 3.558 Å, b = 3.558 Å, c = 3.963 Å
α = 90.00°, β = 90.00°, γ = 90.00°
Fractional positions:
Si 0.000 0.500 0.500
Si 0.500 0.000 0.500
Zn 0.000 0.000 0.000

# 2
An optimized crystal structure of Zn2Si, computed with PBE-GGA.

## Properties
Energy relative to the elements, uncorrected   295 meV per atom
Total energy   -14.172 eV for the cell shown
Crystal system   tetragonal
N(E_F)   2.365 states/eV per cell

a = 5.554 Å, b = 5.554 Å, c = 3.960 Å
α = 90.00°, β = 90.00°, γ = 90.00°
Fractional positions:
Zn 0.809 0.809 0.000
Zn 0.191 0.191 0.000
Zn 0.309 0.691 0.500
Zn 0.691 0.309 0.500
Si 0.500 0.500 0.000
Si 0.000 0.000 0.500

# 3
An optimized crystal structure of Zn3Si, computed with PBE-GGA.

## Properties
Energy relative to the elements, uncorrected   224 meV per atom
Total energy   -16.702 eV for the cell shown
Crystal system   hexagonal
N(E_F)   2.369 states/eV per cell

a = 5.392 Å, b = 5.392 Å, c = 4.963 Å
α = 90.00°, β = 90.00°, γ = 120.00°
Fractional positions:
Zn 0.833 0.665 0.250
Zn 0.335 0.167 0.250
Zn 0.833 0.167 0.250
Zn 0.167 0.335 0.750
Zn 0.665 0.833 0.750
Zn 0.167 0.833 0.750
Si 0.333 0.667 0.250
Si 0.667 0.333 0.750

# 4
An optimized crystal structure of Zn4Si, computed with PBE-GGA.

## Properties
Energy relative to the elements, uncorrected   286 meV per atom
Total energy   -9.088 eV for the cell shown
Crystal system   cubic
N(E_F)   1.942 states/eV per cell
Energy above the lowest structure with this stoichiometry   0.136 eV per atom

a = 4.930 Å, b = 4.930 Å, c = 4.930 Å
α = 109.47°, β = 109.47°, γ = 109.47°
Fractional positions:
Zn 0.500 0.500 0.500
Zn 0.000 0.000 0.500
Zn 0.000 0.500 0.000
Zn 0.500 0.000 0.000
Si 0.000 0.000 0.000

# 5
An optimized crystal structure of Zn2Si, computed with PBE-GGA.

## Properties
Energy relative to the elements, uncorrected   236 meV per atom
Total energy   -7.262 eV for the cell shown
Crystal system   tetragonal
N(E_F)   1.088 states/eV per cell

a = 6.128 Å, b = 6.128 Å, c = 6.128 Å
α = 153.45°, β = 153.45°, γ = 37.90°
Fractional positions:
Si 0.000 0.000 0.000
Zn 0.668 0.668 0.000
Zn 0.332 0.332 0.000

# 6
An optimized crystal structure of Zn2Si, computed with PBE-GGA.

## Properties
Energy relative to the elements, uncorrected   232 meV per atom
Total energy   -7.276 eV for the cell shown
Crystal system   orthorhombic
N(E_F)   0.931 states/eV per cell

a = 5.041 Å, b = 5.041 Å, c = 5.041 Å
α = 149.39°, β = 134.61°, γ = 55.74°
Fractional positions:
Si 0.000 0.000 0.000
Zn 0.669 0.669 0.000
Zn 0.331 0.331 0.000

- Which formula does entry 4 have?
  Zn4Si

- The lowest total energy belongs to which entry?
  Zn3Si

- total energy of number 4 (Zn4Si)?
  -9.088 eV for the cell shown